# 1
DFT (PBE-GGA) results for PrNdY2Ho2 after structural relaxation.

a = 6.598 Å, b = 17.982 Å, c = 3.430 Å
α = 90.00°, β = 90.00°, γ = 90.00°
Fractional positions:
Pr 0.000 0.000 0.000
Pr 0.500 0.500 0.500
Nd 0.000 0.500 0.000
Nd 0.500 0.000 0.500
Y 0.225 0.187 0.000
Y 0.275 0.687 0.500
Y 0.725 0.313 0.500
Y 0.775 0.813 0.000
Ho 0.223 0.351 0.500
Ho 0.277 0.851 0.000
Ho 0.723 0.149 0.000
Ho 0.777 0.649 0.500

Properties
DOS at the Fermi energy in states/eV/f.u.: 9.934
Symmetry: Pnnm
E in eV/f.u.: -30.02
Formation energy in kJ/mol of formula units: 155

***

# 2
DFT (PBE-GGA) results for ScSiRu2 after structural relaxation.

a = 5.144 Å, b = 5.144 Å, c = 4.179 Å
α = 110.89°, β = 110.89°, γ = 34.90°
Fractional positions:
Sc 0.000 0.000 0.000
Si 0.767 0.767 0.311
Ru 0.240 0.240 0.788
Ru 0.485 0.485 0.478

Properties
Energy relative to the elements, uncorrected in meV/atom: -529
DOS at the Fermi energy in states/eV/f.u.: 3.178
Symmetry: Cm
E in eV/f.u.: -32.42